Record 1
# TiIn2WCl meta-GGA SCAN single point on PBEsol structure
# Electronic total energy, Ry/atom: -2.289
# Formation energy from raw total energies, eV per atom: 0.957
data_TiIn2WCl
_symmetry_space_group_name_H-M 'P 1'
_symmetry_Int_Tables_number 1
_symmetry_space_group_name_Hall 'P 1'
_cell_length_a 5.418
_cell_length_b 5.418
_cell_length_c 4.463
_cell_angle_alpha 90.00
_cell_angle_beta 90.00
_cell_angle_gamma 90.00
loop_
_atom_site_label
_atom_site_fract_x
_atom_site_fract_y
_atom_site_fract_z
Ti1 0.000 0.000 0.000
In1 0.000 0.500 0.000
In2 0.500 0.000 0.000
W1 0.000 0.000 0.500
Cl1 0.500 0.500 0.500


Record 2
# TlInCl2 meta-GGA SCAN single point on PBEsol structure
# Electronic total energy, Ry/atom: -2.306
# Energy relative to the lowest polymorph listed for this composition, meV per atom: 39
# Formation energy from raw total energies, eV per atom: -0.945
data_TlInCl2
_symmetry_space_group_name_H-M 'P 1'
_symmetry_Int_Tables_number 1
_symmetry_space_group_name_Hall 'P 1'
_cell_length_a 5.284
_cell_length_b 5.284
_cell_length_c 3.731
_cell_angle_alpha 90.15
_cell_angle_beta 90.15
_cell_angle_gamma 90.05
loop_
_atom_site_label
_atom_site_fract_x
_atom_site_fract_y
_atom_site_fract_z
Tl1 0.000 0.000 0.000
In1 0.500 0.500 0.000
Cl1 0.000 0.500 0.500
Cl2 0.500 0.000 0.500


Record 3
# Tl2InCl meta-GGA SCAN single point on PBEsol structure
# Electronic total energy, Ry/atom: -3.443
# Formation energy from raw total energies, eV per atom: -0.319
data_Tl2InCl
_symmetry_space_group_name_H-M 'P 1'
_symmetry_Int_Tables_number 1
_symmetry_space_group_name_Hall 'P 1'
_cell_length_a 3.409
_cell_length_b 3.409
_cell_length_c 9.885
_cell_angle_alpha 90.00
_cell_angle_beta 90.00
_cell_angle_gamma 113.45
loop_
_atom_site_label
_atom_site_fract_x
_atom_site_fract_y
_atom_site_fract_z
Tl1 0.000 0.000 0.000
Tl2 0.500 0.500 0.278
In1 0.000 0.000 0.543
Cl1 0.500 0.500 0.754


Record 4
# TlInCl2 meta-GGA SCAN single point on PBEsol structure
# Electronic total energy, Ry/atom: -2.309
# Energy relative to the lowest polymorph listed for this composition, meV per atom: 0
# Formation energy from raw total energies, eV per atom: -0.985
data_TlInCl2
_symmetry_space_group_name_H-M 'P 1'
_symmetry_Int_Tables_number 1
_symmetry_space_group_name_Hall 'P 1'
_cell_length_a 4.447
_cell_length_b 6.323
_cell_length_c 6.323
_cell_angle_alpha 38.92
_cell_angle_beta 90.00
_cell_angle_gamma 90.00
loop_
_atom_site_label
_atom_site_fract_x
_atom_site_fract_y
_atom_site_fract_z
Tl1 0.000 0.000 0.000
In1 0.500 0.216 0.216
Cl1 0.000 0.745 0.745
Cl2 0.500 0.444 0.444